## NiH3F (PBE with a Hubbard U)

Data for crystalline NiH3F at its relaxed geometry.

a = 3.1856 Å, b = 3.1856 Å, c = 3.1856 Å
α = 90.00°, β = 90.00°, γ = 90.00°
Space group Pm-3m (No. 221)
Inequivalent atoms, fractional coordinates:
Ni1 0.0000 0.0000 0.0000 x1
H1 0.0000 0.0000 0.5000 x3
F1 0.5000 0.5000 0.5000 x1

Computed properties:
Its energy is -2.4855 eV/atom. For the calculated volume, the calculation gives 32.33 Å³ per cell.